First-principles (GGA-PBE) data for an optimized crystal structure of Pm5AgAu4, as listed in Alexandria.

Structure (POSCAR):
```
Pm5AgAu4
1.0
3.679 0.000 0.000
0.000 3.679 0.000
0.000 0.000 18.697
Pm Ag Au
5 1 4
Cartesian
0.000 0.000 0.000
0.000 0.000 3.718
0.000 0.000 7.419
0.000 0.000 11.278
0.000 0.000 14.979
1.840 1.840 9.348
1.840 1.840 1.864
1.840 1.840 5.619
1.840 1.840 13.078
1.840 1.840 16.833
```

Values from the calculation:
SG = P4/mmm
ρ = 10.6 Mg/m³
formation enthalpy at 0 K = -0.686 eV per atom

=====

First-principles (GGA-PBE) data for an optimized crystal structure of PmAgAu2, as listed in Alexandria.

Structure (POSCAR):
```
PmAgAu2
1.0
0.000 3.517 3.517
3.517 0.000 3.517
3.517 3.517 0.000
Pm Ag Au
1 1 2
Cartesian
0.000 0.000 0.000
3.517 3.517 3.517
1.759 1.759 1.759
5.276 5.276 5.276
```

Values from the calculation:
SG = Fm-3m
ρ = 12.3 Mg/m³
relative energy among the computed polymorphs = 0.0 meV per atom
formation enthalpy at 0 K = -0.575 eV per atom

=====

First-principles (GGA-PBE) data for an optimized crystal structure of PmAg2Au2, as listed in Alexandria.

Structure (POSCAR):
```
PmAg2Au2
1.0
2.833 -2.834 0.000
2.833 2.834 0.000
-2.812 0.000 6.824
Pm Ag Au
1 2 2
Cartesian
0.000 0.000 0.000
1.427 1.420 3.412
1.427 -1.420 3.412
0.018 0.000 5.443
2.835 0.000 1.382
```

Values from the calculation:
SG = C2/m
ρ = 11.4 Mg/m³
relative energy among the computed polymorphs = 0.0 meV per atom
formation enthalpy at 0 K = -0.396 eV per atom